A geometry-optimized Zn3Pd8Au2 structure, computed with GGA-PBE.

The polymorph energy (0 for the lowest one) is 0.0520 eV per atom. The calculation puts the formation energy from the elements at -0.154 eV per atom. For the electronic total energy, the calculation gives -4.148 eV/atom. The value obtained for the calculated density is 11.16 Mg/m³.

a = 6.6879 Å, b = 6.6879 Å, c = 5.2570 Å
α = 101.41°, β = 101.41°, γ = 70.09°
Closest atoms and distances in Å follow each position.
Fractional positions:
Zn (0.0000, 0.0000, 0.0000)  6 Pd 2.56-2.58
Zn (0.2310, 0.7690, 0.5000)  4 Pd 2.51-2.53
Zn (0.7690, 0.2310, 0.5000)  4 Pd 2.51-2.53
Pd (0.0025, 0.3785, 0.2279)  2 Zn 2.58-2.82, 3 Pd 2.79-2.89, 2 Au 2.86-2.89
Pd (0.1548, 0.1548, 0.7059)  3 Zn 2.51-2.56, 1 Pd 2.72, 1 Au 2.80
Pd (0.3785, 0.0025, 0.2279)  2 Zn 2.58-2.82, 3 Pd 2.79-2.89, 2 Au 2.86-2.89
Pd (0.3789, 0.3789, 0.5704)  2 Zn 2.53, 3 Au 2.62-2.78, 5 Pd 2.72-2.80
Pd (0.6211, 0.6211, 0.4296)  2 Zn 2.53, 3 Au 2.62-2.78, 5 Pd 2.72-2.80
Pd (0.6215, 0.9975, 0.7721)  2 Zn 2.58-2.82, 3 Pd 2.79-2.89, 2 Au 2.86-2.89
Pd (0.8452, 0.8452, 0.2941)  3 Zn 2.51-2.56, 1 Pd 2.72, 1 Au 2.80
Pd (0.9975, 0.6215, 0.7721)  2 Zn 2.58-2.82, 3 Pd 2.79-2.89, 2 Au 2.86-2.89
Au (0.3867, 0.3867, 0.0758)  8 Pd 2.62-2.89, 1 Au 2.78
Au (0.6133, 0.6133, 0.9242)  8 Pd 2.62-2.89, 1 Au 2.78